Entry from Alexandria via LeMat-Bulk: an optimized crystal structure of Li2YIr2 (PBEsol).

a b c (Å): 3.8946 3.8946 11.1397
angles (deg): 90.00 90.00 90.00
Closest atoms and distances in Å follow each position.
Space group I4/mmm (No. 139)
One atom of each set of equivalent atoms:
Li 0.0000 0.5000 0.2500 [4 per cell]  4 Ir 2.50, 4 Li 2.75
Y 0.0000 0.0000 0.0000 [2 per cell]  8 Ir 3.01
Ir 0.0000 0.0000 0.3911 [4 per cell]  1 Ir 2.43, 4 Li 2.50

The calculation puts the formation energy at -0.09 eV/f.u.

Entry from Alexandria via LeMat-Bulk: an optimized crystal structure of LiZn2Ir (PBEsol).

a b c (Å): 2.7071 3.7529 5.3057
angles (deg): 90.00 90.00 90.00
Closest atoms and distances in Å follow each position.
Space group Pmmm (No. 47)
One atom of each set of equivalent atoms:
Li 0.0000 0.0000 0.0000 [1 per cell]  2 Ir 2.65, 8 Zn 2.68, 2 Li 2.71
Zn 0.5000 0.5000 0.2558 [2 per cell]  4 Zn 2.59-2.71, 4 Ir 2.65, 4 Li 2.68
Ir 0.0000 0.0000 0.5000 [1 per cell]  8 Zn 2.65, 2 Li 2.65, 2 Ir 2.71

The calculation puts the formation energy at -0.85 eV/f.u.

Entry from Alexandria via LeMat-Bulk: an optimized crystal structure of Li4ZnIr (PBEsol).

a b c (Å): 6.6575 6.6575 6.6575
angles (deg): 90.00 90.00 90.00
Closest atoms and distances in Å follow each position.
Space group F-43m (No. 216)
One atom of each set of equivalent atoms:
Li 0.1231 0.1231 0.1231 [16 per cell]  6 Li 2.32-2.39
Zn 0.0000 0.0000 0.5000 [4 per cell]  12 Li 2.76, 4 Ir 2.88
Ir 0.2500 0.2500 0.7500 [4 per cell]  12 Li 2.76, 4 Zn 2.88

The calculation puts the formation energy at 0.32 eV/f.u.

Entry from Alexandria via LeMat-Bulk: an optimized crystal structure of LiZn2Ir (PBEsol).

a b c (Å): 3.0346 3.0346 5.7634
angles (deg): 90.00 90.00 90.00
Closest atoms and distances in Å follow each position.
Space group P4/mmm (No. 123)
One atom of each set of equivalent atoms:
Li 0.0000 0.0000 0.0000 [1 per cell]  8 Zn 2.58, 2 Ir 2.88
Zn 0.5000 0.5000 0.2490 [2 per cell]  4 Li 2.58, 4 Ir 2.59, 1 Zn 2.87
Ir 0.0000 0.0000 0.5000 [1 per cell]  8 Zn 2.59, 2 Li 2.88

The calculation puts the formation energy at -0.88 eV/f.u.

Number 1: DFT total energy -6.099 eV/atom. Number 2: DFT total energy -3.952 eV/atom. Number 3: DFT total energy -3.158 eV/atom. Number 4: DFT total energy -3.959 eV/atom.